This record from Alexandria via LeMat-Bulk describes a relaxed TlZn2GePt crystal. The functional is GGA-PBE.

a b c (Å): 4.950 4.778 4.950
angles (deg): 90.00 90.00 90.00
Atoms (fractional coordinates):
Zn  0.000  0.000  0.500
Tl  0.500  0.500  0.500
Zn  0.500  0.000  0.000
Pt  0.000  0.000  0.000
Ge  0.000  0.500  0.000

**N(E_F)**: 3.15 states/eV/cell
**Total magnetic moment**: 0.000 Bohr magnetons per cell
**E_form**: -59 meV per atom
**V**: 23.4 Å³/atom

This record from Alexandria via LeMat-Bulk describes a relaxed Na5SrAu2 crystal. The functional is GGA-PBE.

a b c (Å): 4.593 7.583 7.583
angles (deg): 77.87 72.37 72.37
Atoms (fractional coordinates):
Au  0.716  0.784  0.784
Na  0.666  0.517  0.151
Na  0.000  0.500  0.500
Na  0.334  0.849  0.483
Au  0.284  0.216  0.216
Na  0.334  0.483  0.849
Sr  0.000  0.000  0.000
Na  0.666  0.151  0.517

**N(E_F)**: 3.53 states/eV/cell
**Total magnetic moment**: 0.000 Bohr magnetons per cell
**E_form**: -275 meV per atom
**V**: 29.7 Å³/atom